Here is an optimized crystal structure of Pm5Sn2Ge from Alexandria. Energies are from PBE.

Calculated values
**Energy of formation from the pure elements**: -0.617 eV/atom
**Energy relative to the lowest polymorph listed for this composition**: 0.082 eV per atom
**Final energy**: -5.164 eV per atom

a b c (Å): 8.197 8.197 9.083
angles (deg): 116.82 116.82 90.00
Last column: magnetic moment on the atom in μB.
Element x y z (fractional)
Sn1 0.632 0.132 0.000  -0.01
Sn2 0.132 0.368 0.000  -0.01
Sn3 0.368 0.868 0.000  -0.01
Sn4 0.868 0.632 0.000  -0.01
Pm1 0.500 0.500 0.000  0.11
Pm2 0.000 0.000 0.000  0.11
Pm3 0.821 0.985 0.306  0.09
Pm4 0.485 0.321 0.306  0.09
Pm5 0.515 0.679 0.694  0.09
Pm6 0.985 0.485 0.306  0.09
Pm7 0.679 0.179 0.694  0.09
Pm8 0.321 0.821 0.306  0.09
Pm9 0.015 0.515 0.694  0.09
Pm10 0.179 0.015 0.694  0.09
Ge1 0.750 0.750 0.500  -0.01
Ge2 0.250 0.250 0.500  -0.01

=====

Here is an optimized crystal structure of LaGd3 from Alexandria. Energies are from PBE.

Calculated values
**Energy of formation from the pure elements**: 0.010 eV/atom
**Energy relative to the lowest polymorph listed for this composition**: 0.000 eV per atom
**Final energy**: -11.782 eV per atom

a b c (Å): 3.672 6.329 6.895
angles (deg): 117.32 105.45 90.00
Last column: magnetic moment on the atom in μB.
Element x y z (fractional)
Gd1 0.751 0.085 0.503  7.22
Gd2 0.249 0.582 0.497  7.22
Gd3 0.500 0.500 0.000  -7.19
La1 0.000 0.999 0.000  -0.02

=====

Here is an optimized crystal structure of FeSn from Alexandria. Energies are from PBE.

Calculated values
**Energy of formation from the pure elements**: 0.409 eV/atom
**Final energy**: -5.824 eV per atom

a b c (Å): 8.025 13.629 5.452
angles (deg): 90.00 90.00 90.00
Last column: magnetic moment on the atom in μB.
Element x y z (fractional)
Sn1 0.929 0.250 0.750  -0.07
Sn2 0.571 0.250 0.750  -0.07
Sn3 0.071 0.250 0.250  -0.07
Sn4 0.571 0.750 0.250  -0.07
Sn5 0.071 0.750 0.750  -0.07
Sn6 0.321 0.500 0.500  -0.07
Sn7 0.179 0.000 0.500  -0.07
Sn8 0.429 0.250 0.250  -0.07
Sn9 0.179 0.500 0.000  -0.07
Sn10 0.821 0.500 0.000  -0.07
Sn11 0.821 0.000 0.500  -0.07
Sn12 0.429 0.750 0.750  -0.07
Sn13 0.679 0.000 0.000  -0.07
Sn14 0.679 0.500 0.500  -0.07
Sn15 0.321 0.000 0.000  -0.07
Sn16 0.929 0.750 0.250  -0.07
Fe1 0.250 0.336 0.750  2.29
Fe2 0.750 0.664 0.750  2.29
Fe3 0.250 0.164 0.750  2.29
Fe4 0.750 0.164 0.250  2.29
Fe5 0.500 0.586 0.000  2.29
Fe6 0.000 0.586 0.500  2.29
Fe7 0.000 0.414 0.500  2.29
Fe8 0.500 0.914 0.500  2.29
Fe9 0.750 0.836 0.750  2.29
Fe10 0.250 0.664 0.250  2.29
Fe11 0.250 0.836 0.250  2.29
Fe12 0.750 0.336 0.250  2.29
Fe13 0.000 0.914 0.000  2.29
Fe14 0.500 0.086 0.500  2.29
Fe15 0.000 0.086 0.000  2.29
Fe16 0.500 0.414 0.000  2.29

=====

Here is an optimized crystal structure of La2Te2Cl from Alexandria. Energies are from PBE.

Calculated values
**Energy relative to the lowest polymorph listed for this composition**: 0.049 eV per atom
**Final energy**: -5.316 eV per atom

a b c (Å): 4.461 8.097 9.421
angles (deg): 90.00 103.69 90.00
Element x y z (fractional)
Cl1 0.404 0.083 0.808
Cl2 0.596 0.583 0.192
Te1 0.952 0.741 0.905
Te2 0.193 0.888 0.386
Te3 0.807 0.388 0.614
Te4 0.048 0.241 0.095
La1 0.442 0.440 0.884
La2 0.558 0.940 0.116
La3 0.189 0.482 0.379
La4 0.811 0.982 0.621

=====

Here is an optimized crystal structure of NaGe3Au from Alexandria. Energies are from PBE.

Calculated values
**Energy of formation from the pure elements**: -0.108 eV/atom
**Energy relative to the lowest polymorph listed for this composition**: 0.000 eV per atom
**Final energy**: -3.797 eV per atom

a b c (Å): 4.380 4.380 6.416
angles (deg): 110.11 110.11 89.73
Element x y z (fractional)
Ge1 0.152 0.652 0.303
Ge2 0.013 0.013 0.027
Ge3 0.652 0.152 0.303
Au1 0.789 0.789 0.577
Na1 0.391 0.391 0.783

=====

Here is an optimized crystal structure of LiAlO from Alexandria. Energies are from PBE.

Calculated values
**Final energy**: -4.848 eV per atom

a b c (Å): 5.052 3.861 5.931
angles (deg): 108.99 115.21 90.00
Element x y z (fractional)
Al1 0.747 0.500 0.000
Al2 0.253 0.500 0.000
O1 0.128 0.628 0.257
O2 0.872 0.372 0.743
Li1 0.311 0.811 0.623
Li2 0.689 0.189 0.377

=====

Here is an optimized crystal structure of Pr2Sm2Er from Alexandria. Energies are from PBE.

Calculated values
**Energy of formation from the pure elements**: 0.144 eV/atom
**Energy relative to the lowest polymorph listed for this composition**: 0.007 eV per atom
**Final energy**: -4.568 eV per atom

a b c (Å): 6.215 6.216 8.873
angles (deg): 110.65 110.64 32.83
Element x y z (fractional)
Pr1 0.323 0.324 0.202
Pr2 0.677 0.676 0.798
Er1 0.000 0.000 0.000
Sm1 0.108 0.107 0.411
Sm2 0.892 0.893 0.589

=====

Here is an optimized crystal structure of Sr2MgPd from Alexandria. Energies are from PBE.

Calculated values
**Energy of formation from the pure elements**: -0.299 eV/atom
**Final energy**: -2.837 eV per atom

a b c (Å): 3.878 3.878 8.244
angles (deg): 90.00 90.00 90.00
Element x y z (fractional)
Mg1 0.500 0.500 0.500
Pd1 0.500 0.500 0.000
Sr1 0.000 0.000 0.216
Sr2 0.000 0.000 0.784